Entry 1:
! PBE ZnNi2, optimized geometry; values from VASP
&SYSTEM
  ibrav = 0, nat = 12, ntyp = 2
/
ATOMIC_SPECIES
Ni 58.69 Ni.upf
Zn 65.41 Zn.upf
CELL_PARAMETERS angstrom
5.549 0.000 0.000
0.000 5.549 0.000
0.000 0.000 5.549
ATOMIC_POSITIONS crystal
Ni 0.622 0.878 0.122
Ni 0.878 0.122 0.622
Ni 0.878 0.378 0.122
Ni 0.122 0.622 0.878
Ni 0.622 0.622 0.622
Ni 0.378 0.122 0.878
Ni 0.378 0.378 0.378
Ni 0.122 0.878 0.378
Zn 0.500 0.000 0.500
Zn 0.000 0.000 0.000
Zn 0.000 0.500 0.500
Zn 0.500 0.500 0.000
! Space-group type: Pa-3 (205)
! Calculated formation energy: 0.561 eV per atom
! Crystal system: cubic

---

Entry 2:
! PBE CsAlH8N4, optimized geometry; values from VASP
&SYSTEM
  ibrav = 0, nat = 28, ntyp = 4
/
ATOMIC_SPECIES
H 1.01 H.upf
Cs 132.91 Cs.upf
N 14.01 N.upf
Al 26.98 Al.upf
CELL_PARAMETERS angstrom
-3.342 3.780 -5.698
2.124 -5.454 -4.865
-4.723 -2.708 0.974
ATOMIC_POSITIONS crystal
H 0.926 0.277 0.616
H 0.426 0.777 0.384
H 0.574 0.223 0.616
H 0.091 0.026 0.811
H 0.074 0.723 0.384
H 0.409 0.474 0.811
H 0.723 0.426 0.384
H 0.591 0.526 0.189
H 0.026 0.409 0.811
H 0.777 0.074 0.384
H 0.974 0.591 0.189
H 0.526 0.909 0.189
H 0.277 0.574 0.616
H 0.909 0.974 0.189
H 0.474 0.091 0.811
H 0.223 0.926 0.616
Cs 0.750 0.750 0.752
Cs 0.250 0.250 0.248
N 0.084 0.665 0.218
N 0.916 0.335 0.782
N 0.665 0.416 0.218
N 0.335 0.584 0.782
N 0.584 0.165 0.782
N 0.835 0.084 0.218
N 0.416 0.835 0.218
N 0.165 0.916 0.782
Al 0.250 0.750 0.000
Al 0.750 0.250 0.000
! Space-group type: P4/n (85)
! Raw total energy: -5.15 eV per atom
! Crystal system: tetragonal

---

Entry 3:
! PBE TlCd2Ge, optimized geometry; values from VASP
&SYSTEM
  ibrav = 0, nat = 4, ntyp = 3
/
ATOMIC_SPECIES
Cd 112.41 Cd.upf
Tl 204.38 Tl.upf
Ge 72.64 Ge.upf
CELL_PARAMETERS angstrom
4.473 0.000 0.000
0.000 4.627 0.000
0.000 0.000 4.627
ATOMIC_POSITIONS crystal
Cd 0.000 0.000 0.500
Cd 0.000 0.500 0.000
Tl 0.500 0.500 0.500
Ge 0.500 0.000 0.000
! Space-group type: P4/mmm (123)
! Calculated formation energy: 0.185 eV per atom
! Crystal system: tetragonal

---

Entry 4:
! PBE PrNdGaCo, optimized geometry; values from VASP
&SYSTEM
  ibrav = 0, nat = 4, ntyp = 4
/
ATOMIC_SPECIES
Nd 144.24 Nd.upf
Ga 69.72 Ga.upf
Co 58.93 Co.upf
Pr 140.91 Pr.upf
CELL_PARAMETERS angstrom
-0.043 4.556 -2.353
-4.442 2.049 -1.539
-1.898 4.111 2.407
ATOMIC_POSITIONS crystal
Nd 0.000 0.000 0.000
Ga 0.250 0.250 0.250
Co 0.750 0.750 0.750
Pr 0.500 0.500 0.500
! Space-group type: F-43m (216)
! Calculated formation energy: -0.183 eV per atom
! Crystal system: cubic

---

Entry 5:
! PBE AlCuHg2, optimized geometry; values from VASP
&SYSTEM
  ibrav = 0, nat = 4, ntyp = 3
/
ATOMIC_SPECIES
Hg 200.59 Hg.upf
Cu 63.55 Cu.upf
Al 26.98 Al.upf
CELL_PARAMETERS angstrom
9.181 0.093 0.055
8.614 3.178 0.055
8.614 1.583 2.756
ATOMIC_POSITIONS crystal
Hg 0.495 0.495 0.495
Hg 0.005 0.005 0.005
Cu 0.750 0.750 0.750
Al 0.250 0.250 0.250
! Space-group type: R-3m (166)
! Calculated formation energy: 0.200 eV per atom
! Crystal system: trigonal

---

Entry 6:
! PBE Ti2Co2Re, optimized geometry; values from VASP
&SYSTEM
  ibrav = 0, nat = 10, ntyp = 3
/
ATOMIC_SPECIES
Co 58.93 Co.upf
Ti 47.87 Ti.upf
Re 186.21 Re.upf
CELL_PARAMETERS angstrom
7.003 0.000 0.000
0.000 7.003 0.000
0.000 0.000 2.752
ATOMIC_POSITIONS crystal
Co 0.146 0.646 0.500
Co 0.354 0.146 0.500
Co 0.646 0.854 0.500
Co 0.854 0.354 0.500
Ti 0.845 0.655 0.000
Ti 0.345 0.845 0.000
Ti 0.155 0.345 0.000
Ti 0.655 0.155 0.000
Re 0.000 0.000 0.000
Re 0.500 0.500 0.000
! Space-group type: P4/mbm (127)
! Calculated formation energy: -0.091 eV per atom
! Crystal system: tetragonal

---

Entry 7:
! PBE Ca2TbMg9, optimized geometry; values from VASP
&SYSTEM
  ibrav = 0, nat = 12, ntyp = 3
/
ATOMIC_SPECIES
Mg 24.30 Mg.upf
Ca 40.08 Ca.upf
Tb 158.93 Tb.upf
CELL_PARAMETERS angstrom
-5.862 -0.701 1.605
-2.340 -5.614 0.661
-0.133 -2.068 10.274
ATOMIC_POSITIONS crystal
Mg 0.583 0.080 0.753
Mg 0.666 0.666 0.001
Mg 0.417 0.920 0.247
Mg 0.583 0.583 0.753
Mg 0.417 0.417 0.247
Mg 0.500 0.500 0.500
Mg 0.080 0.583 0.753
Mg 0.334 0.334 0.999
Mg 0.920 0.417 0.247
Ca 0.858 0.858 0.425
Ca 0.142 0.142 0.575
Tb 0.000 0.000 0.000
! Space-group type: R-3m (166)
! Calculated formation energy: -0.048 eV per atom
! Crystal system: trigonal

---

Entry 8:
! PBE CdSnPt2, optimized geometry; values from VASP
&SYSTEM
  ibrav = 0, nat = 4, ntyp = 3
/
ATOMIC_SPECIES
Cd 112.41 Cd.upf
Pt 195.08 Pt.upf
Sn 118.71 Sn.upf
CELL_PARAMETERS angstrom
3.801 0.000 0.000
1.901 3.292 0.000
1.901 1.097 6.600
ATOMIC_POSITIONS crystal
Cd 0.500 0.500 0.500
Pt 0.254 0.254 0.237
Pt 0.746 0.746 0.763
Sn 0.000 0.000 0.000
! Space-group type: R-3m (166)
! Calculated formation energy: -0.197 eV per atom
! Crystal system: trigonal

---

Entry 9:
! PBE La2YTc, optimized geometry; values from VASP
&SYSTEM
  ibrav = 0, nat = 4, ntyp = 3
/
ATOMIC_SPECIES
Y 88.91 Y.upf
La 138.91 La.upf
Tc 98.00 Tc.upf
CELL_PARAMETERS angstrom
-2.521 -1.644 -1.920
1.807 -3.068 0.254
-4.482 -2.011 7.609
ATOMIC_POSITIONS crystal
Y 0.500 0.500 0.750
La 0.000 0.000 0.444
La 0.000 0.000 0.056
Tc 0.500 0.500 0.250
! Space-group type: P4/mmm (123)
! Calculated formation energy: 0.146 eV per atom
! Crystal system: tetragonal

---

Entry 10:
! PBE SrCaP3, optimized geometry; values from VASP
&SYSTEM
  ibrav = 0, nat = 5, ntyp = 3
/
ATOMIC_SPECIES
Sr 87.62 Sr.upf
P 30.97 P.upf
Ca 40.08 Ca.upf
CELL_PARAMETERS angstrom
5.187 0.000 0.000
0.000 5.187 0.000
0.000 0.000 5.187
ATOMIC_POSITIONS crystal
Sr 0.500 0.500 0.500
P 0.000 0.500 0.000
P 0.000 0.000 0.500
P 0.500 0.000 0.000
Ca 0.000 0.000 0.000
! Space-group type: Pm-3m (221)
! Calculated formation energy: 0.128 eV per atom
! Crystal system: cubic

---

Entry 11:
! PBE GaAuO3, optimized geometry; values from VASP
&SYSTEM
  ibrav = 0, nat = 5, ntyp = 3
/
ATOMIC_SPECIES
Au 196.97 Au.upf
O 16.00 O.upf
Ga 69.72 Ga.upf
CELL_PARAMETERS angstrom
3.845 0.000 0.000
0.000 3.845 0.000
0.000 0.000 3.845
ATOMIC_POSITIONS crystal
Au 0.500 0.500 0.500
O 0.500 0.000 0.000
O 0.000 0.000 0.500
O 0.000 0.500 0.000
Ga 0.000 0.000 0.000
! Space-group type: Pm-3m (221)
! Crystal system: cubic
! Uncorrected formation energy: -1.319 eV per formula unit

---

Entry 12:
! PBE TbTh2OsC4, optimized geometry; values from VASP
&SYSTEM
  ibrav = 0, nat = 16, ntyp = 4
/
ATOMIC_SPECIES
C 12.01 C.upf
Os 190.23 Os.upf
Th 232.04 Th.upf
Tb 158.93 Tb.upf
CELL_PARAMETERS angstrom
3.636 0.000 0.000
-1.818 6.082 0.000
0.000 0.000 12.484
ATOMIC_POSITIONS crystal
C 0.734 0.467 0.863
C 0.000 0.000 0.000
C 0.420 0.839 0.750
C 0.580 0.161 0.250
C 0.266 0.533 0.363
C 0.266 0.533 0.137
C 0.734 0.467 0.637
C 0.000 0.000 0.500
Os 0.846 0.692 0.750
Os 0.154 0.308 0.250
Th 0.366 0.733 0.961
Th 0.634 0.267 0.039
Th 0.634 0.267 0.461
Th 0.366 0.733 0.539
Tb 0.116 0.233 0.750
Tb 0.884 0.767 0.250
! Space-group type: Cmcm (63)
! Calculated formation energy: 0.028 eV per atom
! Crystal system: orthorhombic